BaSrNF2 PBE-GGA relaxed; uncorrected formation energy = -48.00 kcal/mol of atoms; E_tot = -5.22 eV per atom
1.0
4.617 0.000 0.000
0.000 4.617 0.000
0.000 0.000 5.011
Ba Sr N F
1 1 1 2
Direct
0.000 0.000 0.000
0.500 0.500 0.500
0.500 0.500 0.000
0.000 0.500 0.500
0.500 0.000 0.500


BaSrNF2 PBE-GGA relaxed; uncorrected formation energy = -37.95 kcal/mol of atoms; E_tot = -4.78 eV per atom
1.0
4.437 0.000 0.000
0.000 4.437 0.000
0.000 0.000 10.151
Ba Sr N F
1 1 1 2
Direct
0.000 0.000 0.000
0.000 0.000 0.500
0.500 0.500 0.000
0.000 0.500 0.500
0.500 0.000 0.500


BaTaN2F PBE-GGA relaxed; uncorrected formation energy = 33.99 kcal/mol of atoms; E_tot = -4.99 eV per atom
1.0
4.661 0.000 0.000
0.000 4.661 0.000
0.000 0.000 4.592
Ba Ta N F
1 1 2 1
Direct
0.000 0.000 0.000
0.500 0.500 0.500
0.000 0.500 0.000
0.500 0.000 0.000
0.000 0.000 0.500


BaTaN2F PBE-GGA relaxed; uncorrected formation energy = -34.44 kcal/mol of atoms; E_tot = -7.95 eV per atom
1.0
4.168 0.000 0.000
0.000 4.168 0.000
0.000 0.000 4.279
Ba Ta N F
1 1 2 1
Direct
0.000 0.000 0.000
0.500 0.500 0.500
0.000 0.500 0.500
0.500 0.000 0.500
0.500 0.500 0.000


Ba3Ta2N5F2 PBE-GGA relaxed; uncorrected formation energy = -38.74 kcal/mol of atoms; E_tot = -7.92 eV per atom
1.0
-2.033 2.033 12.125
2.033 -2.033 12.125
2.033 2.033 -12.125
Ba Ta N F
3 2 5 2
Direct
0.000 0.000 0.000
0.178 0.178 0.000
0.822 0.822 0.000
0.419 0.419 0.000
0.581 0.581 0.000
0.098 0.598 0.500
0.402 0.902 0.500
0.500 0.500 0.000
0.598 0.098 0.500
0.902 0.402 0.500
0.292 0.292 0.000
0.708 0.708 0.000


BaTcNF2 PBE-GGA relaxed; uncorrected formation energy = -1.28 kcal/mol of atoms; E_tot = -4.93 eV per atom
1.0
4.851 0.000 0.000
0.000 4.851 0.000
0.000 0.000 4.938
Ba Tc N F
1 1 1 2
Direct
0.000 0.000 0.000
0.500 0.500 0.500
0.000 0.000 0.500
0.000 0.500 0.000
0.500 0.000 0.000


BaTcNF2 PBE-GGA relaxed; uncorrected formation energy = -34.90 kcal/mol of atoms; E_tot = -6.38 eV per atom
1.0
4.444 0.000 0.000
0.000 4.444 0.000
0.000 0.000 3.907
Ba Tc N F
1 1 1 2
Direct
0.000 0.000 0.000
0.500 0.500 0.500
0.500 0.500 0.000
0.000 0.500 0.500
0.500 0.000 0.500


Ba5TcN4F2 PBE-GGA relaxed; uncorrected formation energy = -27.74 kcal/mol of atoms; E_tot = -5.95 eV per atom
1.0
7.897 0.000 0.000
0.000 5.260 3.261
0.000 -5.260 3.261
Ba Tc N F
5 1 4 2
Direct
0.000 0.000 0.000
0.273 0.286 0.640
0.273 0.640 0.286
0.727 0.286 0.640
0.727 0.640 0.286
0.500 0.971 0.971
0.317 0.163 0.163
0.500 0.662 0.955
0.500 0.955 0.662
0.683 0.163 0.163
0.000 0.443 0.968
0.000 0.968 0.443


BaTcN2F PBE-GGA relaxed; uncorrected formation energy = -20.97 kcal/mol of atoms; E_tot = -7.07 eV per atom
1.0
3.977 0.000 0.000
0.000 3.977 0.000
0.000 0.000 4.509
Ba Tc N F
1 1 2 1
Direct
0.000 0.000 0.000
0.500 0.500 0.500
0.000 0.500 0.500
0.500 0.000 0.500
0.500 0.500 0.000


BaTcN2F PBE-GGA relaxed; uncorrected formation energy = 32.85 kcal/mol of atoms; E_tot = -4.74 eV per atom
1.0
4.701 0.000 0.000
0.000 4.701 0.000
0.000 0.000 4.785
Ba Tc N F
1 1 2 1
Direct
0.000 0.000 0.000
0.500 0.500 0.500
0.000 0.500 0.000
0.500 0.000 0.000
0.000 0.000 0.500


BaTeN2F PBE-GGA relaxed; uncorrected formation energy = 18.42 kcal/mol of atoms; E_tot = -3.92 eV per atom
1.0
5.100 0.000 0.000
0.000 5.100 0.000
0.000 0.000 4.275
Ba Te N F
1 1 2 1
Direct
0.000 0.000 0.000
0.500 0.500 0.000
0.000 0.500 0.500
0.500 0.000 0.500
0.500 0.500 0.500


BaTeNF2 PBE-GGA relaxed; uncorrected formation energy = -29.14 kcal/mol of atoms; E_tot = -4.69 eV per atom
1.0
4.869 0.000 0.000
0.000 4.869 0.000
0.000 0.000 4.212
Ba Te N F
1 1 1 2
Direct
0.000 0.000 0.000
0.500 0.500 0.500
0.500 0.500 0.000
0.000 0.500 0.500
0.500 0.000 0.500


Copy entry 5 word for word.
Ba3Ta2N5F2 PBE-GGA relaxed; uncorrected formation energy = -38.74 kcal/mol of atoms; E_tot = -7.92 eV per atom
1.0
-2.033 2.033 12.125
2.033 -2.033 12.125
2.033 2.033 -12.125
Ba Ta N F
3 2 5 2
Direct
0.000 0.000 0.000
0.178 0.178 0.000
0.822 0.822 0.000
0.419 0.419 0.000
0.581 0.581 0.000
0.098 0.598 0.500
0.402 0.902 0.500
0.500 0.500 0.000
0.598 0.098 0.500
0.902 0.402 0.500
0.292 0.292 0.000
0.708 0.708 0.000


Which formula does entry 6 have? BaTcNF2


Which value of uncorrected formation energy does entry 4 give? -34.44 kcal/mol of atoms